No. 1
Material: Mg2TlTcTe
Method: DFT, PBE
State: relaxed

**ΔE_f (raw)**: 0.73 eV per atom
**Total energy**: -3.08 eV/atom
**Crystal system**: tetragonal

a = 5.4076 Å, b = 5.4076 Å, c = 4.9808 Å
α = 90.00°, β = 90.00°, γ = 90.00°
Space group P4/mmm (No. 123)
Inequivalent atoms, fractional coordinates:
Mg 0.0000 0.5000 0.0000 (multiplicity 2)
Tl 0.0000 0.0000 0.5000 (multiplicity 1)
Tc 0.5000 0.5000 0.5000 (multiplicity 1)
Te 0.5000 0.5000 0.0000 (multiplicity 1)

---

No. 2
Material: YMgTc2Te
Method: DFT, PBE
State: relaxed

**ΔE_f (raw)**: 1.23 eV per atom
**Total energy**: -5.16 eV/atom
**Crystal system**: tetragonal

a = 4.6476 Å, b = 4.6476 Å, c = 5.2867 Å
α = 90.00°, β = 90.00°, γ = 90.00°
Space group P4/mmm (No. 123)
Inequivalent atoms, fractional coordinates:
Y 0.0000 0.0000 0.0000 (multiplicity 1)
Mg 0.0000 0.0000 0.5000 (multiplicity 1)
Tc 0.0000 0.5000 0.5000 (multiplicity 2)
Te 0.5000 0.5000 0.0000 (multiplicity 1)

---

No. 3
Material: Th2MgTc
Method: DFT, PBE
State: relaxed

**Total energy**: -6.42 eV/atom
**Crystal system**: trigonal
**ΔE_f**: 0.283 eV per atom

a = 4.0379 Å, b = 4.0379 Å, c = 30.4789 Å
α = 90.00°, β = 90.00°, γ = 120.00°
Space group R-3m (No. 166, hexagonal axes)
Inequivalent atoms, fractional coordinates:
Th 0.0000 0.0000 0.1169 (multiplicity 6)
Mg 0.0000 0.0000 0.0000 (multiplicity 3)
Tc 0.0000 0.0000 0.5000 (multiplicity 3)

---

No. 4
Material: Th2Mg3Tc2
Method: DFT, PBE
State: relaxed

**Total energy**: -5.80 eV/atom
**Crystal system**: monoclinic
**ΔE_f**: -0.036 eV per atom

a = 10.3346 Å, b = 4.6286 Å, c = 6.9485 Å
α = 90.00°, β = 99.12°, γ = 90.00°
Space group C2/m (No. 12)
Inequivalent atoms, fractional coordinates:
Th 0.1323 0.0000 0.3644 (multiplicity 4)
Mg 0.0000 0.5000 0.0000 (multiplicity 2)
Mg 0.1837 0.0000 0.8649 (multiplicity 4)
Tc 0.0913 0.5000 0.6313 (multiplicity 4)

---

No. 5
Material: Th2MgTc
Method: DFT, PBE
State: relaxed

**Total energy**: -6.63 eV/atom
**Crystal system**: tetragonal
**ΔE_f**: 0.074 eV per atom

a = 5.1226 Å, b = 5.1226 Å, c = 3.7857 Å
α = 90.00°, β = 90.00°, γ = 90.00°
Space group P4/mmm (No. 123)
Inequivalent atoms, fractional coordinates:
Th 0.0000 0.5000 0.0000 (multiplicity 2)
Mg 0.0000 0.0000 0.5000 (multiplicity 1)
Tc 0.5000 0.5000 0.5000 (multiplicity 1)

---

No. 6
Material: ThMgTc4
Method: DFT, PBE
State: relaxed

**Total energy**: -8.35 eV/atom
**Crystal system**: cubic
**ΔE_f**: 0.067 eV per atom

a = 7.6215 Å, b = 7.6215 Å, c = 7.6215 Å
α = 90.00°, β = 90.00°, γ = 90.00°
Space group F-43m (No. 216)
Inequivalent atoms, fractional coordinates:
Th 0.0000 0.0000 0.0000 (multiplicity 4)
Mg 0.2500 0.2500 0.7500 (multiplicity 4)
Tc 0.1243 0.1243 0.3757 (multiplicity 16)

---

No. 7
Material: Th4MgTc
Method: DFT, PBE
State: relaxed

**Total energy**: -7.02 eV/atom
**Crystal system**: cubic
**ΔE_f**: -0.077 eV per atom

a = 14.0302 Å, b = 14.0302 Å, c = 14.0302 Å
α = 90.00°, β = 90.00°, γ = 90.00°
Space group F-43m (No. 216)
Inequivalent atoms, fractional coordinates:
Th 0.0000 0.0000 0.1854 (multiplicity 24)
Th 0.0574 0.2500 0.2500 (multiplicity 24)
Th 0.0949 0.0949 0.5949 (multiplicity 16)
Mg 0.1712 0.1712 0.8288 (multiplicity 16)
Tc 0.1136 0.1136 0.3864 (multiplicity 16)

---

No. 8
Material: Th2MgTc
Method: DFT, PBE
State: relaxed

**Total energy**: -6.75 eV/atom
**Crystal system**: tetragonal
**ΔE_f**: -0.048 eV per atom

a = 3.4619 Å, b = 3.4619 Å, c = 8.8208 Å
α = 90.00°, β = 90.00°, γ = 90.00°
Space group P4/mmm (No. 123)
Inequivalent atoms, fractional coordinates:
Th 0.0000 0.0000 0.2033 (multiplicity 2)
Mg 0.5000 0.5000 0.5000 (multiplicity 1)
Tc 0.5000 0.5000 0.0000 (multiplicity 1)

---

No. 9
Material: TmThMgTc
Method: DFT, PBE
State: relaxed

**Total energy**: -5.97 eV/atom
**Crystal system**: cubic
**ΔE_f**: -0.009 eV per atom

a = 7.2092 Å, b = 7.2092 Å, c = 7.2092 Å
α = 90.00°, β = 90.00°, γ = 90.00°
Space group F-43m (No. 216)
Inequivalent atoms, fractional coordinates:
Tm 0.0000 0.0000 0.0000 (multiplicity 4)
Th 0.0000 0.0000 0.5000 (multiplicity 4)
Mg 0.2500 0.2500 0.2500 (multiplicity 4)
Tc 0.2500 0.2500 0.7500 (multiplicity 4)

---

No. 10
Material: YThMgTc
Method: DFT, PBE
State: relaxed

**Total energy**: -6.44 eV/atom
**Crystal system**: cubic
**ΔE_f**: 0.016 eV per atom

a = 7.2614 Å, b = 7.2614 Å, c = 7.2614 Å
α = 90.00°, β = 90.00°, γ = 90.00°
Space group F-43m (No. 216)
Inequivalent atoms, fractional coordinates:
Y 0.0000 0.0000 0.0000 (multiplicity 4)
Th 0.0000 0.0000 0.5000 (multiplicity 4)
Mg 0.2500 0.2500 0.7500 (multiplicity 4)
Tc 0.2500 0.2500 0.2500 (multiplicity 4)

---

No. 11
Material: ThMgZrTc
Method: DFT, PBE
State: relaxed

**Total energy**: -6.94 eV/atom
**Crystal system**: cubic
**ΔE_f**: 0.043 eV per atom

a = 7.0792 Å, b = 7.0792 Å, c = 7.0792 Å
α = 90.00°, β = 90.00°, γ = 90.00°
Space group F-43m (No. 216)
Inequivalent atoms, fractional coordinates:
Th 0.0000 0.0000 0.0000 (multiplicity 4)
Mg 0.2500 0.2500 0.2500 (multiplicity 4)
Zr 0.0000 0.0000 0.5000 (multiplicity 4)
Tc 0.2500 0.2500 0.7500 (multiplicity 4)

---

No. 12
Material: MgTi3Tc
Method: DFT, PBE
State: relaxed

**Energy above the lowest structure with this stoichiometry**: 0 meV per atom
**Total energy**: -6.67 eV/atom
**Crystal system**: cubic
**ΔE_f**: 0.457 eV per atom

a = 4.7569 Å, b = 4.7569 Å, c = 4.7569 Å
α = 90.00°, β = 90.00°, γ = 90.00°
Space group Pm-3m (No. 221)
Inequivalent atoms, fractional coordinates:
Mg 0.0000 0.0000 0.0000 (multiplicity 1)
Ti 0.0000 0.5000 0.5000 (multiplicity 3)
Tc 0.5000 0.5000 0.5000 (multiplicity 1)

---

No. 13
Material: MgTi2Tc
Method: DFT, PBE
State: relaxed

**Total energy**: -7.03 eV/atom
**Crystal system**: tetragonal
**ΔE_f**: -0.092 eV per atom

a = 4.4254 Å, b = 4.4254 Å, c = 3.3233 Å
α = 90.00°, β = 90.00°, γ = 90.00°
Space group P4/mmm (No. 123)
Inequivalent atoms, fractional coordinates:
Mg 0.0000 0.0000 0.0000 (multiplicity 1)
Ti 0.0000 0.5000 0.5000 (multiplicity 2)
Tc 0.5000 0.5000 0.0000 (multiplicity 1)

---

No. 14
Material: MgTi2Tc
Method: DFT, PBE
State: relaxed

**Total energy**: -6.62 eV/atom
**Crystal system**: tetragonal
**ΔE_f**: 0.313 eV per atom

a = 7.2198 Å, b = 7.2198 Å, c = 5.5093 Å
α = 90.00°, β = 90.00°, γ = 90.00°
Space group I-42d (No. 122)
Inequivalent atoms, fractional coordinates:
Mg 0.0000 0.0000 0.0000 (multiplicity 4)
Ti 0.2108 0.2500 0.6250 (multiplicity 8)
Tc 0.0000 0.0000 0.5000 (multiplicity 4)

---

No. 15
Material: MgTiTc3
Method: DFT, PBE
State: relaxed

**Energy above the lowest structure with this stoichiometry**: 0 meV per atom
**Total energy**: -6.99 eV/atom
**Crystal system**: cubic
**ΔE_f**: 1.132 eV per atom

a = 4.5654 Å, b = 4.5654 Å, c = 4.5654 Å
α = 90.00°, β = 90.00°, γ = 90.00°
Space group Pm-3m (No. 221)
Inequivalent atoms, fractional coordinates:
Mg 0.0000 0.0000 0.0000 (multiplicity 1)
Ti 0.5000 0.5000 0.5000 (multiplicity 1)
Tc 0.0000 0.5000 0.5000 (multiplicity 3)

---

| no. | DOS at the Fermi energy (states/eV per cell) |
| --- | --- |
| 1 | 3.88 |
| 2 | 6.80 |
| 3 | 10.53 |
| 4 | 12.19 |
| 5 | 2.72 |
| 6 | 32.11 |
| 7 | 132.85 |
| 8 | 3.63 |
| 9 | 18.86 |
| 10 | 20.06 |
| 11 | 15.94 |
| 12 | 4.50 |
| 13 | 3.99 |
| 14 | 18.46 |
| 15 | 5.36 |